[1]
Computed, not measured: crystalline Re2TcNi at its relaxed geometry at the PBE level of DFT.

Values from the calculation:
For the volume, the calculation gives 56 Å³/cell. The energy relative to the lowest polymorph listed for this composition is 45 meV/atom. The formation energy comes out at 59 meV per atom.

abc: 2.7093 3.8598 5.3473
angles: 90.00 90.14 90.00
Space group P2/m (No. 10)
One atom of each set of equivalent atoms:
Re 0.0018 0.0000 0.2427 x2
Tc 0.5000 0.5000 0.5000 x1
Ni 0.5000 0.5000 0.0000 x1

---

[2]
Computed, not measured: crystalline Re2TcNi at its relaxed geometry at the PBE level of DFT.

Values from the calculation:
For the volume, the calculation gives 226 Å³/cell. The energy relative to the lowest polymorph listed for this composition is 175 meV/atom. The formation energy comes out at 189 meV per atom.

abc: 6.0919 6.0919 6.0919
angles: 90.00 90.00 90.00
Space group F-43m (No. 216)
One atom of each set of equivalent atoms:
Re 0.0000 0.0000 0.0000 x4
Re 0.2500 0.2500 0.2500 x4
Tc 0.2500 0.2500 0.7500 x4
Ni 0.0000 0.0000 0.5000 x4

---

[3]
Computed, not measured: crystalline ReTc2Ni at its relaxed geometry at the PBE level of DFT.

Values from the calculation:
For the volume, the calculation gives 55 Å³/cell. The energy relative to the lowest polymorph listed for this composition is 73 meV/atom. The formation energy comes out at 81 meV per atom.

abc: 2.6875 2.6875 7.6687
angles: 90.00 90.00 90.00
Space group P4mm (No. 99)
One atom of each set of equivalent atoms:
Re 0.0000 0.0000 0.0000 x1
Tc 0.0000 0.0000 0.5160 x1
Tc 0.5000 0.5000 0.2641 x1
Ni 0.5000 0.5000 0.7620 x1

---

[4]
Computed, not measured: crystalline ReTcNi2 at its relaxed geometry at the PBE level of DFT.

Values from the calculation:
For the volume, the calculation gives 290 Å³/cell. The energy relative to the lowest polymorph listed for this composition is 1533 meV/atom. The formation energy comes out at 1501 meV per atom.

abc: 5.2286 5.2286 10.6074
angles: 90.00 90.00 90.00
Space group I-42d (No. 122)
One atom of each set of equivalent atoms:
Re 0.0000 0.0000 0.0000 x4
Tc 0.0000 0.0000 0.5000 x4
Ni 0.2482 0.2500 0.6250 x8

---

[5]
Computed, not measured: crystalline ReTcNi2 at its relaxed geometry at the PBE level of DFT.

Values from the calculation:
For the volume, the calculation gives 51 Å³/cell. The energy relative to the lowest polymorph listed for this composition is 0 meV/atom. The formation energy comes out at -33 meV per atom.

abc: 2.6234 4.2455 4.5896
angles: 90.00 90.00 90.00
Space group Pmm2 (No. 25)
One atom of each set of equivalent atoms:
Re 0.0000 0.0000 0.0000 x1
Tc 0.0000 0.5000 0.6739 x1
Ni 0.5000 0.0000 0.4866 x1
Ni 0.5000 0.5000 0.1875 x1

---

[6]
Computed, not measured: crystalline Re2TcNi at its relaxed geometry at the PBE level of DFT.

Values from the calculation:
For the volume, the calculation gives 56 Å³/cell. The energy relative to the lowest polymorph listed for this composition is 146 meV/atom. The formation energy comes out at 160 meV per atom.

abc: 3.1557 3.1557 5.6176
angles: 90.00 90.00 90.00
Space group P4/mmm (No. 123)
One atom of each set of equivalent atoms:
Re 0.0000 0.0000 0.2238 x2
Tc 0.5000 0.5000 0.5000 x1
Ni 0.5000 0.5000 0.0000 x1

---

[7]
Computed, not measured: crystalline ReTcNi2 at its relaxed geometry at the PBE level of DFT.

Values from the calculation:
For the volume, the calculation gives 159 Å³/cell. The energy relative to the lowest polymorph listed for this composition is 149 meV/atom. The formation energy comes out at 116 meV per atom.

abc: 2.6896 2.6896 25.3089
angles: 90.00 90.00 120.00
Space group R3m (No. 160, hexagonal axes)
One atom of each set of equivalent atoms:
Re 0.0000 0.0000 0.0000 x3
Tc 0.0000 0.0000 0.7536 x3
Ni 0.0000 0.0000 0.2492 x3
Ni 0.0000 0.0000 0.5044 x3

---

[8]
Computed, not measured: crystalline Re2TcNi at its relaxed geometry at the PBE level of DFT.

Values from the calculation:
For the volume, the calculation gives 56 Å³/cell. The energy relative to the lowest polymorph listed for this composition is 42 meV/atom. The formation energy comes out at 56 meV per atom.

abc: 2.7047 3.8601 5.3622
angles: 90.00 90.00 90.00
Space group Pmm2 (No. 25)
One atom of each set of equivalent atoms:
Re 0.0000 0.0000 0.0000 x1
Re 0.5000 0.5000 0.2628 x1
Tc 0.0000 0.0000 0.5200 x1
Ni 0.5000 0.5000 0.7621 x1